# Ge4RhF2

A relaxed Ge4RhF2 crystal (PBE-GGA, Alexandria).

Lattice parameters (Å, degrees): 4.659 4.659 12.187 90.00 90.00 90.00
Space group I4/mmm (No. 139)
Unique sites:
Ge1 0.000 0.000 0.225 [4 per cell]
Ge2 0.000 0.500 0.000 [4 per cell]
Rh1 0.000 0.000 0.000 [2 per cell]
F1 0.000 0.000 0.396 [4 per cell]

E_form (uncorrected): -0.5291 eV per atom
Crystal system: tetragonal
D(E_F): 0.474 states/eV/atom